[1]
DFT (PBE) results for crystalline Tl3Hg3Cl at its relaxed geometry.

```
14
Lattice="-2.813 -2.602 -7.706 7.449 -4.101 -1.334 -3.268 -7.106 3.592" Properties=species:S:1:pos:R:3 pbc="T T T"
Hg 0.228 -4.578 1.463
Hg 1.614 -4.002 -6.447
Hg -2.224 -3.078 -2.955
Hg -3.858 -6.630 -1.159
Hg 3.021 -2.701 -2.594
Hg 3.952 -6.628 0.796
Tl 1.273 -7.379 2.027
Tl -2.337 -4.203 -0.130
Tl 0.456 -2.326 -4.187
Tl 4.180 -4.377 -4.854
Tl -3.744 -5.505 -3.984
Tl 2.907 -3.827 0.231
Cl 0.000 0.000 0.000
Cl 0.684 -6.904 -2.724
```

Summary:
Energy = -1.3168 eV/atom



[2]
DFT (PBE) results for crystalline TlHgCl4 at its relaxed geometry.

```
6
Lattice="-5.535 -0.215 2.799 -2.632 5.222 2.078 -5.011 2.297 -2.852" Properties=species:S:1:pos:R:3 pbc="T T T"
Cl -4.938 2.737 0.759
Cl -7.449 3.888 -0.670
Cl -7.712 2.629 2.162
Cl -6.257 5.355 1.800
Hg -9.883 5.478 1.519
Tl 0.000 0.000 0.000
```

Summary:
Polymorph energy (0 for the lowest one) = 695.1 meV per atom



[3]
DFT (PBE) results for crystalline Tl3HgCl at its relaxed geometry.

```
5
Lattice="-0.277 3.753 -4.488 -0.495 -4.492 -3.725 -5.830 0.203 0.529" Properties=species:S:1:pos:R:3 pbc="T T T"
Tl -2.915 0.101 0.265
Tl -0.247 -2.246 -1.863
Tl -0.138 1.876 -2.244
Cl -3.300 -0.268 -3.842
Hg 0.000 0.000 0.000
```

Summary:
Polymorph energy (0 for the lowest one) = 45.2 meV per atom



[4]
DFT (PBE) results for crystalline Tl3Hg2Cl7 at its relaxed geometry.

```
12
Lattice="5.347 0.000 0.000 0.000 5.505 0.000 0.000 -2.752 12.733" Properties=species:S:1:pos:R:3 pbc="T T T"
Cl 0.000 0.000 10.275
Cl 2.674 2.752 10.247
Cl 2.674 0.000 2.486
Cl 0.000 0.000 5.172
Cl 0.000 2.752 7.561
Cl 0.000 2.752 2.458
Cl 0.000 0.000 0.000
Tl 2.674 2.752 4.452
Tl 2.674 0.000 8.281
Tl 2.674 2.752 0.000
Hg 0.000 0.000 2.664
Hg 0.000 2.752 10.069
```

Summary:
Polymorph energy (0 for the lowest one) = 20.4 meV per atom



Values for calculated volume, A^3/atom, ordered as above
45.5 28.2 40.2 31.2